VASP calculation (GGA-PBE) on a relaxed structure of Rb4NaCe3Se8.

a = 9.3872 Å, b = 9.3872 Å, c = 9.3872 Å
α = 55.66°, β = 55.66°, γ = 55.66°
Closest atoms and distances in Å follow each position.
Fractional positions:
1 Rb 0.0000 0.0000 0.0000  6 Se 3.40
2 Rb 0.0000 0.5000 0.5000  6 Se 3.48-3.55
3 Rb 0.5000 0.0000 0.5000  6 Se 3.48-3.55
4 Rb 0.5000 0.5000 0.0000  6 Se 3.48-3.55
5 Na 0.5000 0.5000 0.5000  6 Se 3.08
6 Ce 0.0000 0.0000 0.5000  6 Se 2.90-2.98
7 Ce 0.0000 0.5000 0.0000  6 Se 2.90-2.98
8 Ce 0.5000 0.0000 0.0000  6 Se 2.90-2.98
9 Se 0.2133 0.7403 0.7403  2 Ce 2.90, 1 Na 3.08
10 Se 0.2328 0.2328 0.2328  3 Ce 2.98
11 Se 0.2597 0.2597 0.7867  2 Ce 2.90, 1 Na 3.08
12 Se 0.2597 0.7867 0.2597  2 Ce 2.90, 1 Na 3.08
13 Se 0.7403 0.2133 0.7403  2 Ce 2.90, 1 Na 3.08
14 Se 0.7403 0.7403 0.2133  2 Ce 2.90, 1 Na 3.08
15 Se 0.7672 0.7672 0.7672  3 Ce 2.98
16 Se 0.7867 0.2597 0.2597  2 Ce 2.90, 1 Na 3.08

Computed properties:
E_form (uncorrected)	-1540	meV/atom
M_tot	1.111	μB/f.u.
VASP energy	-75.5	eV/cell
space-group type	R-3m (166)